No. 1
This record from Alexandria describes a relaxed Tb2PmSmHo5 crystal. The functional is PBE.

Cell: 8.7816 8.7816 9.7647 Å, 116.72 116.72 90.00°
Fractional positions:
Tb1 0.1154 0.3846 0.0000
Tb2 0.6154 0.1154 0.0000
Tb3 0.3846 0.8846 0.0000
Tb4 0.8846 0.6154 0.0000
Pm1 0.2500 0.2500 0.5000
Pm2 0.7500 0.7500 0.5000
Sm1 0.2500 0.7500 0.5000
Sm2 0.7500 0.2500 0.5000
Ho1 0.9288 0.4288 0.2684
Ho2 0.6603 0.1603 0.7316
Ho3 0.0712 0.5712 0.7316
Ho4 0.1603 0.0712 0.7316
Ho5 0.5712 0.6603 0.7316
Ho6 0.8397 0.9288 0.2684
Ho7 0.4288 0.3397 0.2684
Ho8 0.3397 0.8397 0.2684
Ho9 0.5000 0.5000 0.0000
Ho10 0.0000 0.0000 0.0000

Output
theoretical density: 8.2 g/cm³
energy of formation: 279 meV per atom
raw total energy: -78.22 eV/cell

***

No. 2
This record from Alexandria describes a relaxed ScTa2Cr2 crystal. The functional is PBE.

Cell: 4.0693 4.0693 6.1619 Å, 70.72 70.72 90.00°
Each line ends with the local moment (μB).
Fractional positions:
Sc1 0.0000 0.0000 0.0000  -0.11
Cr1 0.4004 0.4004 0.1992  1.11
Cr2 0.5996 0.5996 0.8008  1.11
Ta1 0.7500 0.2500 0.5000  0.00
Ta2 0.2500 0.7500 0.5000  0.00

Output
ΔE to the lowest computed polymorph: 0.789 eV per formula unit
theoretical density: 9.4 g/cm³
energy of formation: 420 meV per atom
raw total energy: -47.18 eV/cell

***

No. 3
This record from Alexandria describes a relaxed ReAsN2O crystal. The functional is PBE.

Cell: 3.9883 3.9883 3.7837 Å, 90.00 90.00 90.00°
Fractional positions:
Re1 0.0000 0.0000 0.0000
As1 0.5000 0.5000 0.5000
O1 0.0000 0.0000 0.5000
N1 0.0000 0.5000 0.0000
N2 0.5000 0.0000 0.0000

Output
theoretical density: 8.4 g/cm³
raw formation energy: 0.423 eV per atom
raw total energy: -36.59 eV/cell

***

No. 4
This record from Alexandria describes a relaxed TeIr crystal. The functional is PBE.

Cell: 4.2763 4.7540 4.7504 Å, 65.65 90.00 90.00°
Fractional positions:
Ir1 0.0000 0.9708 0.9703
Ir2 0.5000 0.7792 0.7797
Te1 0.0000 0.5750 0.5749
Te2 0.5000 0.1750 0.1751

Output
theoretical density: 12.1 g/cm³
raw formation energy: 0.079 eV per atom
raw total energy: -23.69 eV/cell